Entry 1:
Compound: Ag3AsBr2F6
Source: the Alexandria database
Functional: PBE-GGA
Structure: relaxed

POSCAR file:
```
Ag3AsBr2F6
1.0
-3.4451 -0.5970 3.5078
0.0697 -6.9465 -1.1137
5.5774 2.8651 4.7011
Ag As Br F
3 1 2 6
Direct
0.0000 0.5000 0.0000 Ag
0.5000 0.5000 0.5000 Ag
0.5000 0.0000 0.5000 Ag
0.5000 0.0000 0.0000 As
0.1402 0.6863 0.3725 Br
0.8598 0.3137 0.6275 Br
0.7078 0.2411 0.1223 F
0.2922 0.7589 0.8777 F
0.7063 0.9049 0.8098 F
0.2937 0.0951 0.1902 F
0.2922 0.1188 0.8777 F
0.7078 0.8812 0.1223 F
```

Output
formation energy from raw total energies = -1.384 eV/atom
crystal system = monoclinic
space-group type = C2/m
density = 4.613 g cm⁻³

Entry 2:
Compound: Sm12Y6Sc
Source: the Alexandria database
Functional: PBE-GGA
Structure: relaxed

POSCAR file:
```
Sm12Y6Sc
1.0
-2.5745 -9.1150 -2.2693
8.3956 0.1277 4.9355
-7.0567 4.4753 5.0036
Sm Y Sc
12 6 1
Direct
0.8903 0.1097 0.5000 Sm
0.2511 0.0031 0.2511 Sm
0.2511 0.2511 0.0031 Sm
0.9969 0.7489 0.7489 Sm
0.7489 0.7489 0.9969 Sm
0.7489 0.9969 0.7489 Sm
0.5000 0.8903 0.1097 Sm
0.1097 0.5000 0.8903 Sm
0.1097 0.8903 0.5000 Sm
0.5000 0.1097 0.8903 Sm
0.8903 0.5000 0.1097 Sm
0.0031 0.2511 0.2511 Sm
0.6424 0.2583 0.6424 Y
0.6424 0.6424 0.2583 Y
0.2583 0.6424 0.6424 Y
0.3576 0.3576 0.7417 Y
0.3576 0.7417 0.3576 Y
0.7417 0.3576 0.3576 Y
0.0000 0.0000 0.0000 Sc
```

Output
crystal system = trigonal
E_form = 389 meV per atom
space-group type = R-3m
density = 5.921 g cm⁻³

Entry 3:
Compound: Sr2PuNb3N8
Source: the Alexandria database
Functional: PBE-GGA
Structure: relaxed

POSCAR file:
```
Sr2PuNb3N8
1.0
-3.9043 -2.4656 4.4833
2.4248 -2.0816 5.5865
-1.2593 4.1215 5.7896
Sr Pu Nb N
2 1 3 8
Direct
0.1434 0.1434 0.5698 Sr
0.4916 0.4916 0.5252 Sr
0.9712 0.9712 0.0864 Pu
0.4944 0.9908 0.0205 Nb
0.9908 0.4944 0.0205 Nb
0.4944 0.4944 0.0205 Nb
0.2700 0.2700 0.1899 N
0.7134 0.7134 0.8599 N
0.2139 0.2139 0.8576 N
0.7145 0.2139 0.8576 N
0.2139 0.7145 0.8576 N
0.7507 0.2798 0.2188 N
0.2798 0.7507 0.2188 N
0.7507 0.7507 0.2188 N
```

Output
formation energy from raw total energies = -0.836 eV/atom
crystal system = trigonal
space-group type = R3m
density = 6.060 g cm⁻³

Question: Number 3 is which compound?
Answer: Sr2PuNb3N8

Copy entry 1 word for word.
Compound: Ag3AsBr2F6
Source: the Alexandria database
Functional: PBE-GGA
Structure: relaxed

POSCAR file:
```
Ag3AsBr2F6
1.0
-3.4451 -0.5970 3.5078
0.0697 -6.9465 -1.1137
5.5774 2.8651 4.7011
Ag As Br F
3 1 2 6
Direct
0.0000 0.5000 0.0000 Ag
0.5000 0.5000 0.5000 Ag
0.5000 0.0000 0.5000 Ag
0.5000 0.0000 0.0000 As
0.1402 0.6863 0.3725 Br
0.8598 0.3137 0.6275 Br
0.7078 0.2411 0.1223 F
0.2922 0.7589 0.8777 F
0.7063 0.9049 0.8098 F
0.2937 0.0951 0.1902 F
0.2922 0.1188 0.8777 F
0.7078 0.8812 0.1223 F
```

Output
formation energy from raw total energies = -1.384 eV/atom
crystal system = monoclinic
space-group type = C2/m
density = 4.613 g cm⁻³

Question: What is the density in the first record?
Answer: 4.613 g cm⁻³